Here is an optimized crystal structure of UCuO4 from Alexandria via LeMat-Bulk. Energies are from PBE.

Cell lengths 7.385, 7.385, 6.034 Å; angles 90.00, 90.00, 90.00 degrees
Space group I4_1md (No. 109)
Symmetry-distinct sites (fractional):
1 U 0.000 0.000 0.000 [4 per cell]
2 Cu 0.000 0.000 0.496 [4 per cell]
3 O 0.000 0.315 0.995 [8 per cell]
4 O 0.000 0.323 0.496 [8 per cell]

Computed properties:
raw formation energy	-2.17	eV/atom
ΔE to the lowest computed polymorph	30.0	meV per atom
calculated total energy	-192.96	eV for the cell shown
spin magnetization	0.1652	μB/atom